Model a:
Computed, not measured: a relaxed structure of Nd3NbO7 at the GGA-PBEsol level of DFT.

Lattice parameters (Å, degrees): 6.5997 6.5997 7.6548 90.00 90.00 68.44
Positions (direct):
Nd  0.0000  0.0000  0.0000
Nd  0.0000  0.0000  0.5000
Nd  0.0747  0.4758  0.7500
Nd  0.4758  0.0747  0.2500
Nd  0.5242  0.9253  0.7500
Nd  0.9253  0.5242  0.2500
Nb  0.5000  0.5000  0.0000
Nb  0.5000  0.5000  0.5000
O  0.1060  0.1552  0.2500
O  0.1552  0.1060  0.7500
O  0.1827  0.5625  0.0372
O  0.1827  0.5625  0.4628
O  0.4238  0.5762  0.7500
O  0.4375  0.8173  0.0372
O  0.4375  0.8173  0.4628
O  0.5625  0.1827  0.5372
O  0.5625  0.1827  0.9628
O  0.5762  0.4238  0.2500
O  0.8173  0.4375  0.5372
O  0.8173  0.4375  0.9628
O  0.8448  0.8940  0.2500
O  0.8940  0.8448  0.7500

Crystal system: orthorhombic
V (Å³ per cell): 310



Model b:
Computed, not measured: a relaxed structure of Nd3NbO7 at the GGA-PBEsol level of DFT.

Lattice parameters (Å, degrees): 7.5829 10.8895 7.6269 90.00 90.00 90.00
Positions (direct):
Nd  0.0131  0.2500  0.2080
Nd  0.2493  0.5251  0.0466
Nd  0.2493  0.9749  0.0466
Nd  0.2507  0.0251  0.5466
Nd  0.2507  0.4749  0.5466
Nd  0.4869  0.7500  0.7080
Nd  0.5131  0.2500  0.2920
Nd  0.7493  0.5251  0.4534
Nd  0.7493  0.9749  0.4534
Nd  0.7507  0.0251  0.9534
Nd  0.7507  0.4749  0.9534
Nd  0.9869  0.7500  0.7920
Nb  0.0045  0.2500  0.7480
Nb  0.4955  0.7500  0.2480
Nb  0.5045  0.2500  0.7520
Nb  0.9955  0.7500  0.2520
O  0.0381  0.1267  0.9510
O  0.0381  0.3733  0.9510
O  0.0454  0.6123  0.4059
O  0.0454  0.8877  0.4059
O  0.2428  0.6178  0.7725
O  0.2428  0.8822  0.7725
O  0.2473  0.2500  0.6652
O  0.2527  0.7500  0.1652
O  0.2572  0.1178  0.2725
O  0.2572  0.3822  0.2725
O  0.4546  0.1123  0.9059
O  0.4546  0.3877  0.9059
O  0.4619  0.6267  0.4510
O  0.4619  0.8733  0.4510
O  0.5381  0.1267  0.5490
O  0.5381  0.3733  0.5490
O  0.5454  0.6123  0.0941
O  0.5454  0.8877  0.0941
O  0.7428  0.6178  0.7275
O  0.7428  0.8822  0.7275
O  0.7473  0.2500  0.8348
O  0.7527  0.7500  0.3348
O  0.7572  0.1178  0.2275
O  0.7572  0.3822  0.2275
O  0.9546  0.1123  0.5941
O  0.9546  0.3877  0.5941
O  0.9619  0.6267  0.0490
O  0.9619  0.8733  0.0490

Crystal system: orthorhombic
V (Å³ per cell): 630



Most stable structure, least stable structure: model b, model a.



Model a:
Computed, not measured: a relaxed structure of Nb2NiO6 at the GGA-PBEsol level of DFT.

Lattice parameters (Å, degrees): 5.5841 5.5841 7.3130 107.58 107.58 72.34
Positions (direct):
Nb  0.0000  0.0000  0.0000
Nb  0.0000  0.0000  0.5000
Nb  0.3481  0.3481  0.8102
Nb  0.6519  0.6519  0.1898
Ni  0.3401  0.3401  0.3359
Ni  0.6599  0.6599  0.6641
O  0.0398  0.6412  0.8360
O  0.1083  0.1083  0.8007
O  0.2326  0.2326  0.5286
O  0.2980  0.7020  0.5000
O  0.3588  0.9602  0.1640
O  0.4250  0.4250  0.1210
O  0.5750  0.5750  0.8790
O  0.6412  0.0398  0.8360
O  0.7020  0.2980  0.5000
O  0.7674  0.7674  0.4714
O  0.8917  0.8917  0.1993
O  0.9602  0.3588  0.1640

Crystal system: monoclinic
V (Å³ per cell): 202



Model b:
Computed, not measured: a relaxed structure of Nb2NiO6 at the GGA-PBEsol level of DFT.

Lattice parameters (Å, degrees): 4.7401 4.7401 9.0335 90.00 90.00 90.00
Positions (direct):
Nb  0.0000  0.0000  0.1688
Nb  0.0000  0.0000  0.8312
Nb  0.5000  0.5000  0.3312
Nb  0.5000  0.5000  0.6688
Ni  0.0000  0.0000  0.5000
Ni  0.5000  0.5000  0.0000
O  0.1961  0.1961  0.0000
O  0.2011  0.2011  0.3307
O  0.2011  0.2011  0.6693
O  0.2989  0.7011  0.1693
O  0.2989  0.7011  0.8307
O  0.3039  0.6961  0.5000
O  0.6961  0.3039  0.5000
O  0.7011  0.2989  0.1693
O  0.7011  0.2989  0.8307
O  0.7989  0.7989  0.3307
O  0.7989  0.7989  0.6693
O  0.8039  0.8039  0.0000

Crystal system: tetragonal
V (Å³ per cell): 203



Model c:
Computed, not measured: a relaxed structure of Nb2NiO6 at the GGA-PBEsol level of DFT.

Lattice parameters (Å, degrees): 13.9750 5.6574 5.0167 90.00 90.00 90.00
Positions (direct):
Nb  0.1574  0.1832  0.2381
Nb  0.1574  0.8168  0.7381
Nb  0.3426  0.3168  0.7381
Nb  0.3426  0.6832  0.2381
Nb  0.6574  0.3168  0.7619
Nb  0.6574  0.6832  0.2619
Nb  0.8426  0.1832  0.2619
Nb  0.8426  0.8168  0.7619
Ni  0.0000  0.3508  0.7500
Ni  0.0000  0.6492  0.2500
Ni  0.5000  0.1492  0.2500
Ni  0.5000  0.8508  0.7500
O  0.0760  0.3879  0.4159
O  0.0760  0.6121  0.9159
O  0.0913  0.1110  0.9089
O  0.0913  0.8890  0.4089
O  0.2436  0.1192  0.5680
O  0.2436  0.8808  0.0680
O  0.2564  0.3808  0.0680
O  0.2564  0.6192  0.5680
O  0.4087  0.3890  0.4089
O  0.4087  0.6110  0.9089
O  0.4240  0.1121  0.9159
O  0.4240  0.8879  0.4159
O  0.5760  0.1121  0.5841
O  0.5760  0.8879  0.0841
O  0.5913  0.3890  0.0911
O  0.5913  0.6110  0.5911
O  0.7436  0.3808  0.4320
O  0.7436  0.6192  0.9320
O  0.7564  0.1192  0.9320
O  0.7564  0.8808  0.4320
O  0.9087  0.1110  0.5911
O  0.9087  0.8890  0.0911
O  0.9240  0.3879  0.0841
O  0.9240  0.6121  0.5841

Crystal system: orthorhombic
V (Å³ per cell): 397



Most stable structure, least stable structure: model c, model a.



Model a:
Computed, not measured: a relaxed structure of Nb3NiOs at the GGA-PBEsol level of DFT.

Lattice parameters (Å, degrees): 4.4826 4.4826 4.4826 90.00 90.00 90.00
Positions (direct):
Nb  0.0000  0.0000  0.5000
Nb  0.0000  0.5000  0.0000
Nb  0.5000  0.0000  0.0000
Ni  0.0000  0.0000  0.0000
Os  0.5000  0.5000  0.5000

Crystal system: cubic
V (Å³ per cell): 90



Model b:
Computed, not measured: a relaxed structure of Nb3NiOs at the GGA-PBEsol level of DFT.

Lattice parameters (Å, degrees): 4.7654 4.7654 4.7654 90.00 90.00 90.00
Positions (direct):
Nb  0.0000  0.0000  0.5000
Nb  0.0000  0.5000  0.0000
Nb  0.5000  0.0000  0.0000
Ni  0.5000  0.5000  0.5000
Os  0.0000  0.0000  0.0000

Crystal system: cubic
V (Å³ per cell): 108



Most stable structure, least stable structure: model a, model b.



Model a:
Computed, not measured: a relaxed structure of NbPO5 at the GGA-PBEsol level of DFT.

Lattice parameters (Å, degrees): 13.2284 5.3786 13.4805 90.00 120.48 90.00
Positions (direct):
Nb  0.0630  0.2466  0.1970
Nb  0.0630  0.2534  0.6970
Nb  0.4365  0.7472  0.1338
Nb  0.4365  0.7528  0.6338
Nb  0.5635  0.2472  0.3662
Nb  0.5635  0.2528  0.8662
Nb  0.9370  0.7466  0.3030
Nb  0.9370  0.7534  0.8030
P  0.1534  0.7402  0.0906
P  0.1534  0.7598  0.5906
P  0.3463  0.2433  0.9371
P  0.3463  0.2567  0.4371
P  0.6537  0.7433  0.5629
P  0.6537  0.7567  0.0629
P  0.8466  0.2402  0.4094
P  0.8466  0.2598  0.9094
O  0.0053  0.5241  0.2429
O  0.0053  0.9759  0.7429
O  0.0811  0.7401  0.4585
O  0.0811  0.7599  0.9585
O  0.1224  0.5454  0.6449
O  0.1224  0.9546  0.1449
O  0.1327  0.0118  0.6295
O  0.1327  0.4882  0.1295
O  0.2157  0.2492  0.8427
O  0.2157  0.2508  0.3427
O  0.2841  0.7376  0.6275
O  0.2841  0.7624  0.1275
O  0.3707  0.0399  0.5196
O  0.3707  0.4601  0.0196
O  0.3726  0.5063  0.4997
O  0.3726  0.9937  0.9997
O  0.4196  0.2278  0.3784
O  0.4196  0.2722  0.8784
O  0.4990  0.0182  0.2403
O  0.4990  0.4818  0.7403
O  0.5010  0.5182  0.2597
O  0.5010  0.9818  0.7597
O  0.5804  0.7278  0.1216
O  0.5804  0.7722  0.6216
O  0.6274  0.0063  0.0003
O  0.6274  0.4937  0.5003
O  0.6293  0.5399  0.9804
O  0.6293  0.9601  0.4804
O  0.7159  0.2376  0.8725
O  0.7159  0.2624  0.3725
O  0.7843  0.7492  0.6573
O  0.7843  0.7508  0.1573
O  0.8673  0.5118  0.8705
O  0.8673  0.9882  0.3705
O  0.8776  0.0454  0.8551
O  0.8776  0.4546  0.3551
O  0.9189  0.2401  0.0415
O  0.9189  0.2599  0.5415
O  0.9947  0.0241  0.2571
O  0.9947  0.4759  0.7571

Crystal system: monoclinic
V (Å³ per cell): 827



Model b:
Computed, not measured: a relaxed structure of NbPO5 at the GGA-PBEsol level of DFT.

Lattice parameters (Å, degrees): 6.4713 6.4713 4.0884 90.00 90.00 90.00
Positions (direct):
Nb  0.2500  0.2500  0.2223
Nb  0.7500  0.7500  0.7777
P  0.2500  0.7500  0.5000
P  0.7500  0.2500  0.5000
O  0.0562  0.7421  0.7162
O  0.2421  0.9438  0.2838
O  0.2500  0.2500  0.7833
O  0.2579  0.5562  0.2838
O  0.4438  0.7579  0.7162
O  0.5562  0.2421  0.2838
O  0.7421  0.4438  0.7162
O  0.7500  0.7500  0.2167
O  0.7579  0.0562  0.7162
O  0.9438  0.2579  0.2838

Crystal system: tetragonal
V (Å³ per cell): 171



Most stable structure, least stable structure: model a, model b.



Model a:
Computed, not measured: a relaxed structure of NbP2SO at the GGA-PBEsol level of DFT.

Lattice parameters (Å, degrees): 4.5319 4.5319 3.3863 90.00 90.00 90.00
Positions (direct):
Nb  0.0000  0.0000  0.0000
P  0.0000  0.5000  0.5000
P  0.5000  0.0000  0.5000
S  0.5000  0.5000  0.5000
O  0.5000  0.5000  0.0000

Crystal system: tetragonal
V (Å³ per cell): 70



Model b:
Computed, not measured: a relaxed structure of NbP2SO at the GGA-PBEsol level of DFT.

Lattice parameters (Å, degrees): 4.7931 4.7931 4.6189 90.00 90.00 90.00
Positions (direct):
Nb  0.0000  0.0000  0.0000
P  0.0000  0.5000  0.0000
P  0.5000  0.0000  0.0000
S  0.0000  0.0000  0.5000
O  0.5000  0.5000  0.5000

Crystal system: tetragonal
V (Å³ per cell): 106



Most stable structure, least stable structure: model a, model b.



Model a:
Computed, not measured: a relaxed structure of Nb4Pb3O13 at the GGA-PBEsol level of DFT.

Lattice parameters (Å, degrees): 7.5479 7.5479 7.5479 59.72 59.72 59.72
Positions (direct):
Nb  0.0000  0.0000  0.0000
Nb  0.0017  0.0017  0.4989
Nb  0.0017  0.4989  0.0017
Nb  0.4989  0.0017  0.0017
Pb  0.0004  0.4878  0.4878
Pb  0.4878  0.0004  0.4878
Pb  0.4878  0.4878  0.0004
O  0.0649  0.7014  0.7014
O  0.0772  0.0772  0.6884
O  0.0772  0.6884  0.0772
O  0.3168  0.9443  0.9443
O  0.3216  0.3216  0.9515
O  0.3216  0.9515  0.3216
O  0.3553  0.3553  0.3553
O  0.6884  0.0772  0.0772
O  0.7014  0.0649  0.7014
O  0.7014  0.7014  0.0649
O  0.9443  0.3168  0.9443
O  0.9443  0.9443  0.3168
O  0.9515  0.3216  0.3216

Crystal system: trigonal
V (Å³ per cell): 302



Model b:
Computed, not measured: a relaxed structure of Nb4Pb3O13 at the GGA-PBEsol level of DFT.

Lattice parameters (Å, degrees): 7.5068 7.4992 10.6233 90.00 90.00 90.00
Positions (direct):
Nb  0.0000  0.0000  0.0000
Nb  0.0000  0.5000  0.5000
Nb  0.2500  0.2492  0.2523
Nb  0.2500  0.7508  0.2523
Nb  0.5000  0.0000  0.0000
Nb  0.5000  0.5000  0.5000
Nb  0.7500  0.2492  0.7477
Nb  0.7500  0.7508  0.7477
Pb  0.0000  0.5000  0.0000
Pb  0.2500  0.2495  0.7376
Pb  0.2500  0.7505  0.7376
Pb  0.5000  0.5000  0.0000
Pb  0.7500  0.2495  0.2624
Pb  0.7500  0.7505  0.2624
O  0.0556  0.1926  0.1247
O  0.0556  0.8074  0.1247
O  0.0601  0.3163  0.3721
O  0.0601  0.6837  0.3721
O  0.2500  0.0000  0.2994
O  0.2500  0.0000  0.9366
O  0.2500  0.5000  0.1766
O  0.2500  0.5000  0.5664
O  0.2500  0.5000  0.8471
O  0.4399  0.3163  0.3721
O  0.4399  0.6837  0.3721
O  0.4444  0.1926  0.1247
O  0.4444  0.8074  0.1247
O  0.5556  0.1926  0.8753
O  0.5556  0.8074  0.8753
O  0.5601  0.3163  0.6279
O  0.5601  0.6837  0.6279
O  0.7500  0.0000  0.0634
O  0.7500  0.0000  0.7006
O  0.7500  0.5000  0.1529
O  0.7500  0.5000  0.4336
O  0.7500  0.5000  0.8234
O  0.9399  0.3163  0.6279
O  0.9399  0.6837  0.6279
O  0.9444  0.1926  0.8753
O  0.9444  0.8074  0.8753

Crystal system: orthorhombic
V (Å³ per cell): 598



Most stable structure, least stable structure: model b, model a.